(1)
Entry from Alexandria via LeMat-Bulk: BaSr2Zn2Si2 after structural relaxation (PBE).

Output
- Formation energy from raw total energies: -0.3525 eV per atom

Lattice parameters (Å, degrees): 4.3386 4.3386 13.3396 80.64 80.64 60.00
Closest atoms and distances in Å follow each position.
Positions (direct):
Ba  0.0000  0.0000  0.0000  6 Zn 3.53, 6 Si 3.54
Sr  0.1181  0.1181  0.6457  3 Si 3.29, 3 Zn 3.31
Sr  0.8819  0.8819  0.3543  3 Si 3.29, 3 Zn 3.31
Zn  0.6035  0.6035  0.1896  3 Si 2.50
Zn  0.3965  0.3965  0.8104  3 Si 2.50
Si  0.7304  0.7304  0.8088  3 Zn 2.50
Si  0.2696  0.2696  0.1912  3 Zn 2.50

(2)
Entry from Alexandria via LeMat-Bulk: PmHfCuTc after structural relaxation (PBE).

Output
- E: -29.44 eV for the cell shown

Lattice parameters (Å, degrees): 4.7879 4.7879 4.7879 60.00 60.00 60.00
Closest atoms and distances in Å follow each position.
Positions (direct):
Hf  0.0000  0.0000  0.0000  4 Tc 2.93, 4 Cu 2.93
Tc  0.7500  0.7500  0.7500  4 Hf 2.93, 4 Pm 2.93
Cu  0.2500  0.2500  0.2500  4 Pm 2.93, 4 Hf 2.93
Pm  0.5000  0.5000  0.5000  4 Tc 2.93, 4 Cu 2.93

(3)
Entry from Alexandria via LeMat-Bulk: LiPrInGa after structural relaxation (PBE).

Output
- E: -14.02 eV for the cell shown

Lattice parameters (Å, degrees): 5.1233 5.1233 5.1233 60.00 60.00 60.00
Closest atoms and distances in Å follow each position.
Positions (direct):
Pr  0.0000  0.0000  0.0000  4 In 3.14, 4 Ga 3.14
Li  0.5000  0.5000  0.5000  4 In 3.14, 4 Ga 3.14
Ga  0.2500  0.2500  0.2500  4 Li 3.14, 4 Pr 3.14
In  0.7500  0.7500  0.7500  4 Li 3.14, 4 Pr 3.14

(4)
Entry from Alexandria via LeMat-Bulk: Tb4TmTh6 after structural relaxation (PBE).

Output
- E: -62.86 eV for the cell shown

Lattice parameters (Å, degrees): 6.4244 6.4244 10.0100 108.72 108.72 90.00
Closest atoms and distances in Å follow each position.
Positions (direct):
Tb  0.0589  0.6905  0.7494  7 Th 3.24-3.52, 1 Tb 3.35
Tb  0.9411  0.9411  0.2506  7 Th 3.24-3.52, 1 Tb 3.35
Tb  0.6905  0.0589  0.7494  7 Th 3.24-3.52, 1 Tb 3.35
Tb  0.3095  0.3095  0.2506  7 Th 3.24-3.52, 1 Tb 3.35
Tm  0.5000  0.5000  0.0000  4 Th 3.21
Th  0.8764  0.4991  0.3755  5 Tb 3.34-3.52, 1 Th 3.43
Th  0.4991  0.8764  0.3755  5 Tb 3.34-3.52, 1 Th 3.43
Th  0.5009  0.5009  0.6245  5 Tb 3.34-3.52, 1 Th 3.43
Th  0.0000  0.5000  0.0000  2 Tm 3.21, 4 Tb 3.24
Th  0.1236  0.1236  0.6245  5 Tb 3.34-3.52, 1 Th 3.43
Th  0.5000  0.0000  0.0000  2 Tm 3.21, 4 Tb 3.24